ScFe2Ru | PBE | relaxed

Lattice parameters (Å, degrees): 4.782 4.782 2.741 90.00 90.00 114.94
Element x y z (fractional)
Sc: 0.000 0.000 0.000
Fe: 0.000 0.500 0.500
Fe: 0.500 0.000 0.500
Ru: 0.500 0.500 0.000

Summary:
* DFT formation energy: 94.8 meV/atom
* energy: -8.0383 eV per atom

ScFeRu2 | PBE | relaxed

Lattice parameters (Å, degrees): 5.067 5.067 2.789 102.81 102.81 114.65
Element x y z (fractional)
Sc: 0.000 0.000 0.000
Fe: 0.500 0.500 0.000
Ru: 0.000 0.500 0.500
Ru: 0.500 0.000 0.500

Summary:
* DFT formation energy: -12.2 meV/atom
* energy: -8.3487 eV per atom

ScFe2Ru2 | PBE | relaxed

Lattice parameters (Å, degrees): 5.829 5.829 5.829 140.47 140.47 57.15
Element x y z (fractional)
Sc: 0.000 0.000 0.000
Fe: 0.250 0.750 0.500
Fe: 0.750 0.250 0.500
Ru: 0.386 0.386 0.000
Ru: 0.614 0.614 0.000

Summary:
* DFT formation energy: 88.7 meV/atom
* energy: -8.2730 eV per atom

ScFe2Ru | PBE | relaxed

Lattice parameters (Å, degrees): 2.962 4.984 8.429 94.20 100.09 107.23
Element x y z (fractional)
Sc: 0.062 0.437 0.183
Sc: 0.938 0.563 0.817
Fe: 0.184 0.317 0.552
Fe: 0.456 0.060 0.351
Fe: 0.544 0.940 0.649
Fe: 0.816 0.683 0.448
Ru: 0.253 0.114 0.890
Ru: 0.747 0.886 0.110

Summary:
* DFT formation energy: -67.9 meV/atom
* energy: -8.2011 eV per atom

ScFe2Ru | PBE | relaxed

Lattice parameters (Å, degrees): 3.135 5.009 8.302 104.08 90.02 108.19
Element x y z (fractional)
Sc: 0.176 0.353 0.148
Sc: 0.824 0.647 0.852
Fe: 0.090 0.180 0.637
Fe: 0.355 0.709 0.559
Fe: 0.645 0.291 0.441
Fe: 0.910 0.820 0.363
Ru: 0.450 0.899 0.145
Ru: 0.550 0.101 0.855

Summary:
* DFT formation energy: -34.1 meV/atom
* energy: -8.1673 eV per atom

ScFe2Ru | PBE | relaxed

Lattice parameters (Å, degrees): 4.614 3.885 6.708 90.00 100.50 90.00
Element x y z (fractional)
Sc: 0.060 0.250 0.187
Sc: 0.940 0.750 0.813
Fe: 0.138 0.250 0.579
Fe: 0.365 0.750 0.475
Fe: 0.635 0.250 0.525
Fe: 0.862 0.750 0.421
Ru: 0.479 0.250 0.881
Ru: 0.521 0.750 0.119

Summary:
* DFT formation energy: 18.7 meV/atom
* energy: -8.1144 eV per atom

ScFe4Ru | PBE | relaxed

Lattice parameters (Å, degrees): 4.846 4.846 4.846 60.00 60.00 60.00
Element x y z (fractional)
Sc: 0.000 0.000 0.000
Fe: 0.126 0.625 0.625
Fe: 0.625 0.126 0.625
Fe: 0.625 0.625 0.126
Fe: 0.625 0.625 0.625
Ru: 0.250 0.250 0.250

Summary:
* DFT formation energy: -88.6 meV/atom
* energy: -8.3316 eV per atom

ScFe2Ru | PBE | relaxed

Lattice parameters (Å, degrees): 5.178 5.178 5.178 145.57 131.94 60.45
Element x y z (fractional)
Sc: 0.000 0.000 0.000
Fe: 0.263 0.763 0.500
Fe: 0.737 0.237 0.500
Ru: 0.500 0.500 0.000

Summary:
* DFT formation energy: -72.6 meV/atom
* energy: -8.2058 eV per atom